Record 1
VASP calculation (PBE) on a relaxed Tb6Dy8Pu crystal.

a b c (Å): 9.0044 9.0044 20.3432
angles (deg): 90.00 90.00 120.00
Closest atoms and distances in Å follow each position.
Space group R-3 (No. 148, hexagonal axes)
Asymmetric unit:
Tb (0.0711, 0.8187, 0.2068) (multiplicity 18)  4 Dy 3.34-3.63, 1 Pu 3.37, 4 Tb 3.52-3.65
Dy (0.0000, 0.0000, 0.0765) (multiplicity 6)  4 Dy 3.11-3.40, 3 Tb 3.34
Dy (0.0826, 0.5255, 0.3066) (multiplicity 18)  3 Tb 3.37-3.63, 5 Dy 3.40-3.42, 1 Pu 3.46
Pu (0.0000, 0.0000, 0.5000) (multiplicity 3)  6 Tb 3.37, 6 Dy 3.46

Output
The formation energy is 0.1145 eV per atom.

=====

Record 2
VASP calculation (PBE) on a relaxed K4Er3RuO8 crystal.

a b c (Å): 6.7333 6.7333 18.6225
angles (deg): 90.00 90.00 120.00
Closest atoms and distances in Å follow each position.
Space group R-3m (No. 166, hexagonal axes)
Asymmetric unit:
K (0.0000, 0.0000, 0.0000) (multiplicity 3)  6 O 2.80
K (0.0000, 0.5000, 0.0000) (multiplicity 9)  6 O 2.74-2.76
Er (0.0000, 0.5000, 0.5000) (multiplicity 9)  6 O 2.26-2.28
Ru (0.0000, 0.0000, 0.5000) (multiplicity 3)  6 O 2.21
O (0.0000, 0.0000, 0.2284) (multiplicity 6)  3 Er 2.26
O (0.0099, 0.5050, 0.2283) (multiplicity 18)  1 Ru 2.21, 2 Er 2.28

Output
For the uncorrected formation energy, the calculation gives -2299 meV/atom.

=====

Record 3
VASP calculation (PBE) on a relaxed Cs2CdIO6 crystal.

a b c (Å): 8.7463 8.7463 8.7463
angles (deg): 90.00 90.00 90.00
Closest atoms and distances in Å follow each position.
Space group Fm-3m (No. 225)
Asymmetric unit:
Cs (0.2500, 0.2500, 0.2500) (multiplicity 8)  12 O 3.10
Cd (0.0000, 0.0000, 0.0000) (multiplicity 4)  6 O 2.45
I (0.0000, 0.0000, 0.5000) (multiplicity 4)  6 O 1.92
O (0.0000, 0.0000, 0.2805) (multiplicity 24)  1 I 1.92

Output
For the uncorrected formation energy, the calculation gives -755 meV/atom.

=====

Record 4
VASP calculation (PBE) on a relaxed Ac5OsPt2 crystal.

a b c (Å): 6.0071 14.0419 14.7355
angles (deg): 90.00 90.00 90.00
Closest atoms and distances in Å follow each position.
Space group Cmcm (No. 63)
Asymmetric unit:
Ac (0.0000, 0.0539, 0.1203) (multiplicity 8)  1 Os 2.85, 2 Pt 3.01-3.04
Ac (0.0000, 0.2646, 0.7500) (multiplicity 4)  2 Os 3.04, 2 Pt 3.19
Ac (0.0000, 0.3274, 0.0751) (multiplicity 8)  3 Pt 3.02-3.16, 1 Os 3.11
Os (0.0000, 0.2040, 0.2500) (multiplicity 4)  6 Ac 2.85-3.11
Pt (0.0000, 0.1535, 0.5609) (multiplicity 8)  6 Ac 3.01-3.19

Output
The formation energy is -0.5545 eV per atom.

=====

Record 5
VASP calculation (PBE) on a relaxed Ac2CO6 crystal.

a b c (Å): 13.0728 4.6894 4.1679
angles (deg): 90.00 94.40 90.00
Closest atoms and distances in Å follow each position.
Space group C2/m (No. 12)
Asymmetric unit:
Ac (0.1578, 0.0000, 0.2264) (multiplicity 4)  4 O 2.50-2.55
C (0.0000, 0.5000, 0.5000) (multiplicity 2)  4 O 1.42
O (0.0485, 0.2845, 0.6987) (multiplicity 8)  1 C 1.42
O (0.2353, 0.5000, 0.2496) (multiplicity 4)  4 Ac 2.50-2.55

Output
For the excess energy over the best structure of this formula in the dataset, the calculation gives 31.19 kJ/mol of atoms. For the uncorrected formation energy, the calculation gives -1848 meV/atom.

=====

Record 6
VASP calculation (PBE) on a relaxed LiCaPb crystal.

a b c (Å): 4.6594 4.6594 15.1700
angles (deg): 90.00 90.00 90.00
Closest atoms and distances in Å follow each position.
Space group I4/mmm (No. 139)
Asymmetric unit:
Li (0.0000, 0.5000, 0.0000) (multiplicity 4)  4 Pb 2.89
Ca (0.0000, 0.0000, 0.1683) (multiplicity 4)  5 Pb 3.32-3.40, 4 Li 3.46
Pb (0.0000, 0.0000, 0.3869) (multiplicity 4)  4 Li 2.89

Output
The formation energy is -0.3835 eV per atom.